# TlCdP2 | Alexandria | GGA-PBEsol | optimized geometry
data_TlCdP2
_chemical_formula_sum 'Tl1 Cd1 P2'
_space_group_name_H-M_alt 'P 1'
_space_group_IT_number 1
_space_group_name_Hall 'P 1'
_cell_length_a 3.219
_cell_length_b 5.487
_cell_length_c 5.878
_cell_angle_alpha 117.82
_cell_angle_beta 105.89
_cell_angle_gamma 90.00
loop_
_atom_site_label
_atom_site_type_symbol
_atom_site_fract_x
_atom_site_fract_y
_atom_site_fract_z
_atom_site_occupancy
Cd1 Cd 0.280 0.780 0.561 1
P1 P 0.042 0.042 0.084 1
P2 P 0.692 0.192 0.383 1
Tl1 Tl 0.486 0.486 0.972 1
# Formation enthalpy at 0 K = 0.15 eV per atom
# ΔE to the lowest computed polymorph = 0 meV/atom



# TlCd2P | Alexandria | GGA-PBEsol | optimized geometry
data_TlCd2P
_chemical_formula_sum 'Tl1 Cd2 P1'
_space_group_name_H-M_alt 'P 1'
_space_group_IT_number 1
_space_group_name_Hall 'P 1'
_cell_length_a 4.184
_cell_length_b 4.164
_cell_length_c 6.804
_cell_angle_alpha 72.33
_cell_angle_beta 72.09
_cell_angle_gamma 59.84
loop_
_atom_site_label
_atom_site_type_symbol
_atom_site_fract_x
_atom_site_fract_y
_atom_site_fract_z
_atom_site_occupancy
Cd1 Cd 0.012 0.009 0.967 1
Cd2 Cd 0.766 0.768 0.699 1
P1 P 0.481 0.484 0.554 1
Tl1 Tl 0.241 0.239 0.279 1
# Formation enthalpy at 0 K = 0.14 eV per atom



# TlCdP2 | Alexandria | GGA-PBEsol | optimized geometry
data_TlCdP2
_chemical_formula_sum 'Tl1 Cd1 P2'
_space_group_name_H-M_alt 'P 1'
_space_group_IT_number 1
_space_group_name_Hall 'P 1'
_cell_length_a 3.071
_cell_length_b 3.071
_cell_length_c 8.798
_cell_angle_alpha 90.00
_cell_angle_beta 90.00
_cell_angle_gamma 101.61
loop_
_atom_site_label
_atom_site_type_symbol
_atom_site_fract_x
_atom_site_fract_y
_atom_site_fract_z
_atom_site_occupancy
Cd1 Cd 0.500 0.500 0.000 1
P1 P 0.000 0.000 0.219 1
P2 P 0.000 0.000 0.781 1
Tl1 Tl 0.500 0.500 0.500 1
# Formation enthalpy at 0 K = 0.46 eV per atom
# ΔE to the lowest computed polymorph = 307 meV/atom



# TlCd2P | Alexandria | GGA-PBEsol | optimized geometry
data_TlCd2P
_chemical_formula_sum 'Tl1 Cd2 P1'
_space_group_name_H-M_alt 'P 1'
_space_group_IT_number 1
_space_group_name_Hall 'P 1'
_cell_length_a 3.077
_cell_length_b 3.729
_cell_length_c 7.577
_cell_angle_alpha 90.00
_cell_angle_beta 90.00
_cell_angle_gamma 90.00
loop_
_atom_site_label
_atom_site_type_symbol
_atom_site_fract_x
_atom_site_fract_y
_atom_site_fract_z
_atom_site_occupancy
Cd1 Cd 0.000 0.000 0.794 1
Cd2 Cd 0.000 0.000 0.206 1
P1 P 0.500 0.500 0.000 1
Tl1 Tl 0.500 0.500 0.500 1
# Formation enthalpy at 0 K = 0.22 eV per atom



# CdPW3 | Alexandria | GGA-PBEsol | optimized geometry
data_CdPW3
_chemical_formula_sum 'Cd1 P1 W3'
_space_group_name_H-M_alt 'P 1'
_space_group_IT_number 1
_space_group_name_Hall 'P 1'
_cell_length_a 4.448
_cell_length_b 4.448
_cell_length_c 4.448
_cell_angle_alpha 90.00
_cell_angle_beta 90.00
_cell_angle_gamma 90.00
loop_
_atom_site_label
_atom_site_type_symbol
_atom_site_fract_x
_atom_site_fract_y
_atom_site_fract_z
_atom_site_occupancy
P1 P 0.000 0.000 0.000 1
W1 W 0.000 0.500 0.000 1
W2 W 0.000 0.000 0.500 1
W3 W 0.500 0.000 0.000 1
Cd1 Cd 0.500 0.500 0.500 1
# Formation enthalpy at 0 K = 0.96 eV per atom



# CdP4W | Alexandria | GGA-PBEsol | optimized geometry
data_CdP4W
_chemical_formula_sum 'Cd1 P4 W1'
_space_group_name_H-M_alt 'P 1'
_space_group_IT_number 1
_space_group_name_Hall 'P 1'
_cell_length_a 5.022
_cell_length_b 5.022
_cell_length_c 5.022
_cell_angle_alpha 60.00
_cell_angle_beta 60.00
_cell_angle_gamma 60.00
loop_
_atom_site_label
_atom_site_type_symbol
_atom_site_fract_x
_atom_site_fract_y
_atom_site_fract_z
_atom_site_occupancy
Cd1 Cd 0.000 0.000 0.000 1
P1 P 0.378 0.378 0.378 1
P2 P 0.378 0.378 0.865 1
P3 P 0.865 0.378 0.378 1
P4 P 0.378 0.865 0.378 1
W1 W 0.750 0.750 0.750 1
# Formation enthalpy at 0 K = 0.82 eV per atom



# Y2CdP | Alexandria | GGA-PBEsol | optimized geometry
data_Y2CdP
_chemical_formula_sum 'Y2 Cd1 P1'
_space_group_name_H-M_alt 'P 1'
_space_group_IT_number 1
_space_group_name_Hall 'P 1'
_cell_length_a 4.117
_cell_length_b 4.117
_cell_length_c 5.830
_cell_angle_alpha 90.00
_cell_angle_beta 90.00
_cell_angle_gamma 90.00
loop_
_atom_site_label
_atom_site_type_symbol
_atom_site_fract_x
_atom_site_fract_y
_atom_site_fract_z
_atom_site_occupancy
Cd1 Cd 0.000 0.000 0.000 1
P1 P 0.500 0.500 0.500 1
Y1 Y 0.000 0.000 0.500 1
Y2 Y 0.500 0.500 0.000 1
# Formation enthalpy at 0 K = -0.67 eV per atom
# ΔE to the lowest computed polymorph = 261 meV/atom



# Y2CdP | Alexandria | GGA-PBEsol | optimized geometry
data_Y2CdP
_chemical_formula_sum 'Y2 Cd1 P1'
_space_group_name_H-M_alt 'P 1'
_space_group_IT_number 1
_space_group_name_Hall 'P 1'
_cell_length_a 3.863
_cell_length_b 3.863
_cell_length_c 8.015
_cell_angle_alpha 76.06
_cell_angle_beta 76.06
_cell_angle_gamma 60.00
loop_
_atom_site_label
_atom_site_type_symbol
_atom_site_fract_x
_atom_site_fract_y
_atom_site_fract_z
_atom_site_occupancy
Y1 Y 0.765 0.765 0.705 1
Y2 Y 0.235 0.235 0.295 1
P1 P 0.500 0.500 0.500 1
Cd1 Cd 0.000 0.000 0.000 1
# Formation enthalpy at 0 K = -0.93 eV per atom
# ΔE to the lowest computed polymorph = 0 meV/atom



# Y2CdP | Alexandria | GGA-PBEsol | optimized geometry
data_Y2CdP
_chemical_formula_sum 'Y2 Cd1 P1'
_space_group_name_H-M_alt 'P 1'
_space_group_IT_number 1
_space_group_name_Hall 'P 1'
_cell_length_a 4.004
_cell_length_b 4.168
_cell_length_c 5.853
_cell_angle_alpha 110.86
_cell_angle_beta 90.00
_cell_angle_gamma 90.00
loop_
_atom_site_label
_atom_site_type_symbol
_atom_site_fract_x
_atom_site_fract_y
_atom_site_fract_z
_atom_site_occupancy
Cd1 Cd 0.000 0.546 0.091 1
P1 P 0.500 0.715 0.431 1
Y1 Y 0.500 0.975 0.949 1
Y2 Y 0.000 0.264 0.529 1
# Formation enthalpy at 0 K = -0.82 eV per atom
# ΔE to the lowest computed polymorph = 111 meV/atom



# YCdP4 | Alexandria | GGA-PBEsol | optimized geometry
data_YCdP4
_chemical_formula_sum 'Y1 Cd1 P4'
_space_group_name_H-M_alt 'P 1'
_space_group_IT_number 1
_space_group_name_Hall 'P 1'
_cell_length_a 5.257
_cell_length_b 5.257
_cell_length_c 5.257
_cell_angle_alpha 60.00
_cell_angle_beta 60.00
_cell_angle_gamma 60.00
loop_
_atom_site_label
_atom_site_type_symbol
_atom_site_fract_x
_atom_site_fract_y
_atom_site_fract_z
_atom_site_occupancy
Cd1 Cd 0.000 0.000 0.000 1
P1 P 0.371 0.371 0.371 1
P2 P 0.371 0.371 0.886 1
P3 P 0.886 0.371 0.371 1
P4 P 0.371 0.886 0.371 1
Y1 Y 0.750 0.750 0.750 1
# Formation enthalpy at 0 K = -0.09 eV per atom



# ZnCdP | Alexandria | GGA-PBEsol | optimized geometry
data_ZnCdP
_chemical_formula_sum 'Zn1 Cd1 P1'
_space_group_name_H-M_alt 'P 1'
_space_group_IT_number 1
_space_group_name_Hall 'P 1'
_cell_length_a 3.434
_cell_length_b 3.434
_cell_length_c 5.835
_cell_angle_alpha 107.11
_cell_angle_beta 107.11
_cell_angle_gamma 90.00
loop_
_atom_site_label
_atom_site_type_symbol
_atom_site_fract_x
_atom_site_fract_y
_atom_site_fract_z
_atom_site_occupancy
Cd1 Cd 0.998 0.998 0.996 1
P1 P 0.756 0.756 0.512 1
Zn1 Zn 0.246 0.246 0.492 1
# Formation enthalpy at 0 K = 0.28 eV per atom
# ΔE to the lowest computed polymorph = 0 meV/atom



# ZnCd3P | Alexandria | GGA-PBEsol | optimized geometry
data_ZnCd3P
_chemical_formula_sum 'Zn1 Cd3 P1'
_space_group_name_H-M_alt 'P 1'
_space_group_IT_number 1
_space_group_name_Hall 'P 1'
_cell_length_a 5.074
_cell_length_b 5.074
_cell_length_c 5.074
_cell_angle_alpha 90.00
_cell_angle_beta 90.00
_cell_angle_gamma 90.00
loop_
_atom_site_label
_atom_site_type_symbol
_atom_site_fract_x
_atom_site_fract_y
_atom_site_fract_z
_atom_site_occupancy
P1 P 0.000 0.000 0.000 1
Zn1 Zn 0.500 0.500 0.500 1
Cd1 Cd 0.000 0.500 0.000 1
Cd2 Cd 0.000 0.000 0.500 1
Cd3 Cd 0.500 0.000 0.000 1
# Formation enthalpy at 0 K = 0.49 eV per atom



# Zn2CdP | Alexandria | GGA-PBEsol | optimized geometry
data_Zn2CdP
_chemical_formula_sum 'Zn2 Cd1 P1'
_space_group_name_H-M_alt 'P 1'
_space_group_IT_number 1
_space_group_name_Hall 'P 1'
_cell_length_a 4.590
_cell_length_b 4.590
_cell_length_c 4.590
_cell_angle_alpha 60.00
_cell_angle_beta 60.00
_cell_angle_gamma 60.00
loop_
_atom_site_label
_atom_site_type_symbol
_atom_site_fract_x
_atom_site_fract_y
_atom_site_fract_z
_atom_site_occupancy
Cd1 Cd 0.500 0.500 0.500 1
P1 P 0.250 0.250 0.250 1
Zn1 Zn 0.000 0.000 0.000 1
Zn2 Zn 0.750 0.750 0.750 1
# Formation enthalpy at 0 K = 0.31 eV per atom
# ΔE to the lowest computed polymorph = 78 meV/atom



# Zn2CdP | Alexandria | GGA-PBEsol | optimized geometry
data_Zn2CdP
_chemical_formula_sum 'Zn2 Cd1 P1'
_space_group_name_H-M_alt 'P 1'
_space_group_IT_number 1
_space_group_name_Hall 'P 1'
_cell_length_a 3.966
_cell_length_b 3.966
_cell_length_c 5.052
_cell_angle_alpha 113.11
_cell_angle_beta 113.11
_cell_angle_gamma 90.00
loop_
_atom_site_label
_atom_site_type_symbol
_atom_site_fract_x
_atom_site_fract_y
_atom_site_fract_z
_atom_site_occupancy
Cd1 Cd 0.500 0.500 0.000 1
P1 P 0.000 0.000 0.000 1
Zn1 Zn 0.750 0.250 0.500 1
Zn2 Zn 0.250 0.750 0.500 1
# Formation enthalpy at 0 K = 0.23 eV per atom
# ΔE to the lowest computed polymorph = 0 meV/atom



# ZnCdP | Alexandria | GGA-PBEsol | optimized geometry
data_ZnCdP
_chemical_formula_sum 'Zn1 Cd1 P1'
_space_group_name_H-M_alt 'P 1'
_space_group_IT_number 1
_space_group_name_Hall 'P 1'
_cell_length_a 3.000
_cell_length_b 3.000
_cell_length_c 6.091
_cell_angle_alpha 104.26
_cell_angle_beta 104.26
_cell_angle_gamma 90.00
loop_
_atom_site_label
_atom_site_type_symbol
_atom_site_fract_x
_atom_site_fract_y
_atom_site_fract_z
_atom_site_occupancy
Cd1 Cd 0.998 0.998 0.996 1
P1 P 0.684 0.684 0.368 1
Zn1 Zn 0.318 0.318 0.636 1
# Formation enthalpy at 0 K = 0.30 eV per atom
# ΔE to the lowest computed polymorph = 18 meV/atom